[1]
An optimized crystal structure of ZrCr3Ru. Source: Alexandria, functional PBE-GGA.

Lattice parameters (Å, degrees): 4.541 4.541 4.541 90.00 90.00 90.00
Fractional coordinates of all 5 atoms:
Zr: 0.000 0.000 0.000
Cr: 0.000 0.500 0.500
Cr: 0.500 0.000 0.500
Cr: 0.500 0.500 0.000
Ru: 0.500 0.500 0.500

* excess energy over the best structure of this formula in the dataset: 0.000 eV/atom
* formation enthalpy at 0 K: 5.24 eV per formula unit
* DFT total energy: -0.6093 Ry per atom

---

[2]
An optimized crystal structure of ZnIn6Pd12. Source: Alexandria, functional PBE-GGA.

Lattice parameters (Å, degrees): 7.379 7.379 7.379 106.41 106.41 106.41
Fractional coordinates of all 19 atoms:
Zn: 0.000 0.000 0.000
In: 0.092 0.470 0.210
In: 0.210 0.092 0.470
In: 0.470 0.210 0.092
In: 0.530 0.790 0.908
In: 0.790 0.908 0.530
In: 0.908 0.530 0.790
Pd: 0.126 0.265 0.844
Pd: 0.156 0.874 0.735
Pd: 0.184 0.481 0.599
Pd: 0.265 0.844 0.126
Pd: 0.401 0.816 0.519
Pd: 0.481 0.599 0.184
Pd: 0.519 0.401 0.816
Pd: 0.599 0.184 0.481
Pd: 0.735 0.156 0.874
Pd: 0.816 0.519 0.401
Pd: 0.844 0.126 0.265
Pd: 0.874 0.735 0.156

* formation enthalpy at 0 K: -7.88 eV per formula unit
* DFT total energy: -0.3400 Ry per atom

---

[3]
An optimized crystal structure of TaNiMo. Source: Alexandria, functional PBE-GGA.

Lattice parameters (Å, degrees): 4.624 4.624 5.357 101.54 101.54 53.77
Fractional coordinates of all 6 atoms:
Ta: 0.154 0.154 0.311
Ta: 0.846 0.846 0.689
Ni: 0.182 0.182 0.838
Ni: 0.818 0.818 0.162
Mo: 0.500 0.500 0.000
Mo: 0.500 0.500 0.500

* excess energy over the best structure of this formula in the dataset: 0.061 eV/atom
* formation enthalpy at 0 K: -0.10 eV per formula unit
* DFT total energy: -0.6997 Ry per atom

---

[4]
An optimized crystal structure of BaMg2Sb2. Source: Alexandria, functional PBE-GGA.

Lattice parameters (Å, degrees): 8.965 8.965 3.701 90.00 90.00 90.00
Fractional coordinates of all 10 atoms:
Ba: 0.000 0.000 0.000
Ba: 0.500 0.500 0.000
Mg: 0.133 0.367 0.500
Mg: 0.367 0.867 0.500
Mg: 0.633 0.133 0.500
Mg: 0.867 0.633 0.500
Sb: 0.155 0.655 0.000
Sb: 0.345 0.155 0.000
Sb: 0.655 0.845 0.000
Sb: 0.845 0.345 0.000

* DFT total energy: -0.2235 Ry per atom
* formation energy from raw total energies: -0.370 eV per atom

---

[5]
An optimized crystal structure of CdSiF5. Source: Alexandria, functional PBE-GGA.

Lattice parameters (Å, degrees): 5.793 5.793 6.835 107.28 107.28 84.17
Fractional coordinates of all 14 atoms:
Cd: 0.045 0.955 0.750
Cd: 0.955 0.045 0.250
Si: 0.500 0.500 0.000
Si: 0.500 0.500 0.500
F: 0.227 0.374 0.874
F: 0.229 0.618 0.525
F: 0.374 0.227 0.374
F: 0.382 0.771 0.975
F: 0.427 0.573 0.250
F: 0.573 0.427 0.750
F: 0.618 0.229 0.025
F: 0.626 0.773 0.626
F: 0.771 0.382 0.475
F: 0.773 0.626 0.126

* DFT total energy: -0.3537 Ry per atom
* formation energy from raw total energies: -2.570 eV per atom

---

[6]
An optimized crystal structure of Nd2SmTm3. Source: Alexandria, functional PBE-GGA.

Lattice parameters (Å, degrees): 9.084 9.084 14.223 116.83 116.83 22.25
Fractional coordinates of all 12 atoms:
Nd: 0.156 0.156 0.468
Nd: 0.320 0.320 0.119
Nd: 0.680 0.680 0.881
Nd: 0.844 0.844 0.532
Sm: 0.062 0.062 0.643
Sm: 0.938 0.938 0.357
Tm: 0.098 0.098 0.026
Tm: 0.237 0.237 0.292
Tm: 0.460 0.460 0.794
Tm: 0.540 0.540 0.206
Tm: 0.763 0.763 0.708
Tm: 0.902 0.902 0.974

* excess energy over the best structure of this formula in the dataset: 0.000 eV/atom
* formation enthalpy at 0 K: 0.72 eV per formula unit
* DFT total energy: -0.3301 Ry per atom

---

[7]
An optimized crystal structure of LiBeS3. Source: Alexandria, functional PBE-GGA.

Lattice parameters (Å, degrees): 4.374 4.374 4.374 90.00 90.00 90.00
Fractional coordinates of all 5 atoms:
Li: 0.000 0.000 0.000
Be: 0.500 0.500 0.500
S: 0.000 0.500 0.500
S: 0.500 0.000 0.500
S: 0.500 0.500 0.000

* excess energy over the best structure of this formula in the dataset: 0.000 eV/atom
* DFT total energy: -0.2664 Ry per atom
* formation energy from raw total energies: -0.019 eV per atom

---

[8]
An optimized crystal structure of SrPdS2N. Source: Alexandria, functional PBE-GGA.

Lattice parameters (Å, degrees): 5.033 5.033 3.820 90.00 90.00 90.00
Fractional coordinates of all 5 atoms:
Sr: 0.000 0.000 0.000
Pd: 0.500 0.500 0.500
S: 0.000 0.500 0.500
S: 0.500 0.000 0.500
N: 0.500 0.500 0.000

* excess energy over the best structure of this formula in the dataset: 0.000 eV/atom
* DFT total energy: -0.3606 Ry per atom
* formation energy from raw total energies: -0.215 eV per atom

---

> Which value of DFT total energy does entry 7 give?

-0.2664 Ry per atom

---

> Look up the DFT total energy of the fifth one.

-0.3537 Ry per atom

---

> Which of these has the lowest DFT total energy?

TaNiMo

---

> DFT total energy of number 5 (CdSiF5)?

-0.3537 Ry per atom